TlCo2W | Alexandria via LeMat-Bulk | PBE-GGA | optimized geometry; mass density = 13.19 g cm⁻³; volume = 63.7 Å³/cell; SG = No. 166; crystal system = trigonal; calculated formation energy = 0.533 eV per atom; raw total energy = -6.8500 eV/atom
1.0
-4.7530 -6.1633 2.2830
-2.8814 -5.9649 4.6804
-5.3229 -4.1494 4.4987
Co W Tl
2 1 1
direct
0.0116 0.0116 0.0116
0.4884 0.4884 0.4884
0.7500 0.7500 0.7500
0.2500 0.2500 0.2500